(1)
MgZr2ZnH: optimized geometry, GGA-PBE.

```
data_MgZr2ZnH
_space_group_name_H-M_alt 'P 4/m m m'
_space_group_IT_number 123
_space_group_name_Hall '-P 4 2'
_cell_length_a 4.3316
_cell_length_b 4.3316
_cell_length_c 4.3669
_cell_angle_alpha 90.00
_cell_angle_beta 90.00
_cell_angle_gamma 90.00
loop_
_atom_site_label
_atom_site_type_symbol
_atom_site_fract_x
_atom_site_fract_y
_atom_site_fract_z
Mg1 Mg 0.0000 0.0000 0.0000
Zr1 Zr 0.0000 0.5000 0.5000
Zn1 Zn 0.5000 0.5000 0.0000
H1 H 0.0000 0.0000 0.5000
```

VASP energy (Ry/atom): -0.3563
Polymorph energy (0 for the lowest one) (meV per atom): 0

(2)
InAs2P: optimized geometry, GGA-PBE.

```
data_InAs2P
_space_group_name_H-M_alt 'C 1 2/m 1'
_space_group_IT_number 12
_cell_length_a 5.8283
_cell_length_b 9.9054
_cell_length_c 2.8726
_cell_angle_alpha 90.00
_cell_angle_beta 108.01
_cell_angle_gamma 90.00
loop_
_space_group_symop_operation_xyz
'x,y,z'
'-x,-y,-z'
'-x,y,-z'
'x,-y,z'
'x+1/2,y+1/2,z'
'-x+1/2,-y+1/2,-z'
'-x+1/2,y+1/2,-z'
'x+1/2,-y+1/2,z'
loop_
_atom_site_label
_atom_site_type_symbol
_atom_site_fract_x
_atom_site_fract_y
_atom_site_fract_z
In1 In 0.0000 0.0000 0.0000
As1 As 0.2500 0.2500 0.5000
P1 P 0.0000 0.5000 0.0000
```

VASP energy (Ry/atom): -0.2875
DFT formation energy (eV/atom): 0.45
Polymorph energy (0 for the lowest one) (meV per atom): 435

(3)
Nb3TlSn: optimized geometry, GGA-PBE.

```
data_Nb3TlSn
_space_group_name_H-M_alt 'P m -3 m'
_space_group_IT_number 221
_space_group_name_Hall '-P 4 2 3'
_cell_length_a 5.0720
_cell_length_b 5.0720
_cell_length_c 5.0720
_cell_angle_alpha 90.00
_cell_angle_beta 90.00
_cell_angle_gamma 90.00
loop_
_atom_site_label
_atom_site_type_symbol
_atom_site_fract_x
_atom_site_fract_y
_atom_site_fract_z
Nb1 Nb 0.0000 0.0000 0.5000
Tl1 Tl 0.5000 0.5000 0.5000
Sn1 Sn 0.0000 0.0000 0.0000
```

VASP energy (Ry/atom): -0.4267
DFT formation energy (eV/atom): 1.51
Polymorph energy (0 for the lowest one) (meV per atom): 0

(4)
CsScSeCl2: optimized geometry, GGA-PBE.

```
data_CsScSeCl2
_space_group_name_H-M_alt 'P 4/m m m'
_space_group_IT_number 123
_space_group_name_Hall '-P 4 2'
_cell_length_a 5.2616
_cell_length_b 5.2616
_cell_length_c 5.2046
_cell_angle_alpha 90.00
_cell_angle_beta 90.00
_cell_angle_gamma 90.00
loop_
_atom_site_label
_atom_site_type_symbol
_atom_site_fract_x
_atom_site_fract_y
_atom_site_fract_z
Cs1 Cs 0.0000 0.0000 0.0000
Sc1 Sc 0.5000 0.5000 0.5000
Se1 Se 0.5000 0.5000 0.0000
Cl1 Cl 0.0000 0.5000 0.5000
```

VASP energy (Ry/atom): -0.3463
Formation energy from raw total energies (eV per atom): -1.839

(5)
Li4AlCd5: optimized geometry, GGA-PBE.

```
data_Li4AlCd5
_space_group_name_H-M_alt 'P 4/m m m'
_space_group_IT_number 123
_space_group_name_Hall '-P 4 2'
_cell_length_a 3.4467
_cell_length_b 3.4467
_cell_length_c 15.7756
_cell_angle_alpha 90.00
_cell_angle_beta 90.00
_cell_angle_gamma 90.00
loop_
_atom_site_label
_atom_site_type_symbol
_atom_site_fract_x
_atom_site_fract_y
_atom_site_fract_z
Li1 Li 0.0000 0.0000 0.0995
Li2 Li 0.0000 0.0000 0.3005
Al1 Al 0.0000 0.0000 0.5000
Cd1 Cd 0.5000 0.5000 0.0000
Cd2 Cd 0.5000 0.5000 0.1991
Cd3 Cd 0.5000 0.5000 0.3948
```

VASP energy (Ry/atom): -0.1311
DFT formation energy (eV/atom): -0.19

(6)
SiTc2Pb: optimized geometry, GGA-PBE.

```
data_SiTc2Pb
_space_group_name_H-M_alt 'P 4/m m m'
_space_group_IT_number 123
_space_group_name_Hall '-P 4 2'
_cell_length_a 4.4804
_cell_length_b 4.4804
_cell_length_c 3.2150
_cell_angle_alpha 90.00
_cell_angle_beta 90.00
_cell_angle_gamma 90.00
loop_
_atom_site_label
_atom_site_type_symbol
_atom_site_fract_x
_atom_site_fract_y
_atom_site_fract_z
Si1 Si 0.0000 0.0000 0.0000
Tc1 Tc 0.0000 0.5000 0.5000
Pb1 Pb 0.5000 0.5000 0.0000
```

VASP energy (Ry/atom): -0.5173
Formation energy from raw total energies (eV per atom): 0.427
Polymorph energy (0 for the lowest one) (meV per atom): 254

(7)
Pm6Cd3In: optimized geometry, GGA-PBE.

```
data_Pm6Cd3In
_space_group_name_H-M_alt 'P 1 21/m 1'
_space_group_IT_number 11
_cell_length_a 9.5222
_cell_length_b 5.3950
_cell_length_c 11.9458
_cell_angle_alpha 90.00
_cell_angle_beta 107.45
_cell_angle_gamma 90.00
loop_
_space_group_symop_operation_xyz
'x,y,z'
'-x,-y,-z'
'-x,y+1/2,-z'
'x,-y+1/2,z'
loop_
_atom_site_label
_atom_site_type_symbol
_atom_site_fract_x
_atom_site_fract_y
_atom_site_fract_z
Pm1 Pm 0.0391 0.2500 0.4136
Pm2 Pm 0.1582 0.7500 0.1750
Pm3 Pm 0.2412 0.2500 0.9972
Pm4 Pm 0.3380 0.7500 0.8026
Pm5 Pm 0.3692 0.2500 0.3415
Pm6 Pm 0.4060 0.2500 0.6243
Cd1 Cd 0.0307 0.7500 0.8734
Cd2 Cd 0.1121 0.2500 0.7148
Cd3 Cd 0.2703 0.7500 0.4742
In1 In 0.4562 0.7500 0.0948
```

VASP energy (Ry/atom): -0.2691
DFT formation energy (eV/atom): -0.26

(8)
TeBr: optimized geometry, GGA-PBE.

```
data_TeBr
_space_group_name_H-M_alt 'P m -3 n'
_space_group_IT_number 223
_space_group_name_Hall '-P 4n 2 3'
_cell_length_a 8.6203
_cell_length_b 8.6203
_cell_length_c 8.6203
_cell_angle_alpha 90.00
_cell_angle_beta 90.00
_cell_angle_gamma 90.00
loop_
_atom_site_label
_atom_site_type_symbol
_atom_site_fract_x
_atom_site_fract_y
_atom_site_fract_z
Te1 Te 0.0000 0.2500 0.5000
Br1 Br 0.0000 0.5000 0.2500
```

VASP energy (Ry/atom): -0.1334
Formation energy from raw total energies (eV per atom): 0.592

(9)
CsAg2Ge2: optimized geometry, GGA-PBE.

```
data_CsAg2Ge2
_space_group_name_H-M_alt 'I 4/m m m'
_space_group_IT_number 139
_space_group_name_Hall '-I 4 2'
_cell_length_a 4.8271
_cell_length_b 4.8271
_cell_length_c 12.9525
_cell_angle_alpha 90.00
_cell_angle_beta 90.00
_cell_angle_gamma 90.00
loop_
_atom_site_label
_atom_site_type_symbol
_atom_site_fract_x
_atom_site_fract_y
_atom_site_fract_z
Cs1 Cs 0.0000 0.0000 0.0000
Ag1 Ag 0.0000 0.0000 0.3339
Ge1 Ge 0.0000 0.5000 0.2500
```

VASP energy (Ry/atom): -0.2221
DFT formation energy (eV/atom): 0.14
Polymorph energy (0 for the lowest one) (meV per atom): 34

(10)
AcFe2C2: optimized geometry, GGA-PBE.

```
data_AcFe2C2
_space_group_name_H-M_alt 'I 4/m m m'
_space_group_IT_number 139
_space_group_name_Hall '-I 4 2'
_cell_length_a 3.5058
_cell_length_b 3.5058
_cell_length_c 10.7202
_cell_angle_alpha 90.00
_cell_angle_beta 90.00
_cell_angle_gamma 90.00
loop_
_atom_site_label
_atom_site_type_symbol
_atom_site_fract_x
_atom_site_fract_y
_atom_site_fract_z
Ac1 Ac 0.0000 0.0000 0.0000
Fe1 Fe 0.0000 0.5000 0.2500
C1 C 0.0000 0.0000 0.3289
```

VASP energy (Ry/atom): -0.5880
DFT formation energy (eV/atom): -0.10

(11)
Tm5Fe2Bi: optimized geometry, GGA-PBE.

```
data_Tm5Fe2Bi
_space_group_name_H-M_alt 'I 4/m c m'
_space_group_IT_number 140
_space_group_name_Hall '-I 4 2c'
_cell_length_a 7.2599
_cell_length_b 7.2599
_cell_length_c 15.0576
_cell_angle_alpha 90.00
_cell_angle_beta 90.00
_cell_angle_gamma 90.00
loop_
_atom_site_label
_atom_site_type_symbol
_atom_site_fract_x
_atom_site_fract_y
_atom_site_fract_z
Tm1 Tm 0.0000 0.0000 0.0000
Tm2 Tm 0.1758 0.3242 0.1254
Fe1 Fe 0.1084 0.3916 0.5000
Bi1 Bi 0.0000 0.0000 0.2500
```

VASP energy (Ry/atom): -0.4150
DFT formation energy (eV/atom): -0.25

(12)
NbBH2I: optimized geometry, GGA-PBE.

```
data_NbBH2I
_space_group_name_H-M_alt 'P 4/m m m'
_space_group_IT_number 123
_space_group_name_Hall '-P 4 2'
_cell_length_a 3.7860
_cell_length_b 3.7860
_cell_length_c 4.6810
_cell_angle_alpha 90.00
_cell_angle_beta 90.00
_cell_angle_gamma 90.00
loop_
_atom_site_label
_atom_site_type_symbol
_atom_site_fract_x
_atom_site_fract_y
_atom_site_fract_z
Nb1 Nb 0.0000 0.0000 0.0000
B1 B 0.0000 0.0000 0.5000
H1 H 0.0000 0.5000 0.0000
I1 I 0.5000 0.5000 0.5000
```

VASP energy (Ry/atom): -0.3080